This record from the Alexandria database describes a relaxed RbReB2Au crystal. The functional is PBE.

Cell: 4.553 5.130 4.553 Å, 90.00 90.00 90.00°
Last column: magnetic moment on the atom in μB.
Positions (direct):
Re (0.000, 0.500, 0.000)  2.04
B (0.000, 0.000, 0.500)  -0.04
B (0.500, 0.000, 0.000)  -0.12
Au (0.500, 0.500, 0.500)  0.04
Rb (0.000, 0.000, 0.000)  -0.05

- E: -11.331 eV/cell
- Formation enthalpy at 0 K: 3.7434 eV/atom
- Symmetry: No. 123
- Total moment: 2.06 μB per formula unit



This record from the Alexandria database describes a relaxed RbTlBAu2 crystal. The functional is PBE.

Cell: 6.141 6.698 6.141 Å, 90.00 90.00 90.00°
Last column: magnetic moment on the atom in μB.
Positions (direct):
Tl (0.000, 0.500, 0.000)  0.05
B (0.500, 0.500, 0.500)  0.32
Au (0.000, 0.000, 0.500)  -0.02
Au (0.500, 0.000, 0.000)  -0.01
Rb (0.000, 0.000, 0.000)  0.00

- E: -7.672 eV/cell
- Formation enthalpy at 0 K: 1.7789 eV/atom
- Symmetry: No. 123
- Total moment: 0.99 μB per formula unit



This record from the Alexandria database describes a relaxed ReBAu2 crystal. The functional is PBE.

Cell: 4.668 4.668 7.527 Å, 71.94 71.94 90.00°
Last column: magnetic moment on the atom in μB.
Positions (direct):
Re (0.000, 0.000, 0.000)  1.42
Re (0.750, 0.250, 0.500)  1.42
B (0.500, 0.500, 0.000)  -0.06
B (0.250, 0.750, 0.500)  -0.06
Au (0.541, 0.125, 0.250)  0.03
Au (0.209, 0.625, 0.250)  0.03
Au (0.375, 0.459, 0.750)  0.03
Au (0.875, 0.791, 0.750)  0.03

- E: -39.610 eV/cell
- Formation enthalpy at 0 K: 1.4688 eV/atom
- Symmetry: No. 122
- Total moment: 1.52 μB per formula unit



This record from the Alexandria database describes a relaxed ReB2RhAu crystal. The functional is PBE.

Cell: 2.910 2.932 14.280 Å, 90.00 90.00 90.00°
Positions (direct):
Re (0.000, 0.000, 0.443)
Re (0.500, 0.500, 0.943)
B (0.000, 0.000, 0.996)
B (0.500, 0.500, 0.496)
B (0.000, 0.500, 0.325)
B (0.500, 0.000, 0.825)
Au (0.000, 0.500, 0.123)
Au (0.500, 0.000, 0.623)
Rh (0.000, 0.500, 0.772)
Rh (0.500, 0.000, 0.272)

- ΔE to the lowest computed polymorph: 0.000 eV per atom
- E: -73.819 eV/cell
- Formation enthalpy at 0 K: -0.0955 eV/atom
- Symmetry: No. 44
- Total moment: 0.00 μB per formula unit



This record from the Alexandria database describes a relaxed ReB2RhAu crystal. The functional is PBE.

Cell: 2.918 2.917 7.180 Å, 90.00 90.00 90.00°
Positions (direct):
Re (0.500, 0.500, 0.169)
B (0.000, 0.000, 0.277)
B (0.500, 0.000, 0.932)
Au (0.500, 0.000, 0.533)
Rh (0.000, 0.500, 0.829)

- ΔE to the lowest computed polymorph: 0.023 eV per atom
- E: -36.796 eV/cell
- Formation enthalpy at 0 K: -0.0729 eV/atom
- Symmetry: No. 25
- Total moment: 0.00 μB per formula unit



This record from the Alexandria database describes a relaxed ReB2RhAu crystal. The functional is PBE.

Cell: 2.897 2.998 14.125 Å, 90.00 90.00 90.00°
Positions (direct):
Re (0.000, 0.500, 0.857)
Re (0.500, 0.000, 0.357)
B (0.000, 0.500, 0.419)
B (0.500, 0.000, 0.919)
B (0.000, 0.500, 0.284)
B (0.500, 0.000, 0.784)
Au (0.000, 0.000, 0.540)
Au (0.500, 0.500, 0.040)
Rh (0.000, 0.000, 0.185)
Rh (0.500, 0.500, 0.685)

- ΔE to the lowest computed polymorph: 0.113 eV per atom
- E: -72.692 eV/cell
- Formation enthalpy at 0 K: 0.0171 eV/atom
- Symmetry: No. 44
- Total moment: 0.00 μB per formula unit



This record from the Alexandria database describes a relaxed ReB2RhAu crystal. The functional is PBE.

Cell: 3.041 3.036 13.744 Å, 90.00 102.79 90.00°
Positions (direct):
Re (0.014, 0.000, 0.881)
Re (0.014, 0.500, 0.381)
B (0.477, 0.000, 0.343)
B (0.477, 0.500, 0.843)
B (0.190, 0.000, 0.055)
B (0.190, 0.500, 0.555)
Au (0.832, 0.000, 0.199)
Au (0.832, 0.500, 0.699)
Rh (0.662, 0.000, 0.525)
Rh (0.662, 0.500, 0.025)

- ΔE to the lowest computed polymorph: 0.143 eV per atom
- E: -72.390 eV/cell
- Formation enthalpy at 0 K: 0.0474 eV/atom
- Symmetry: No. 8
- Total moment: 0.00 μB per formula unit



This record from the Alexandria database describes a relaxed ReBRh2Au crystal. The functional is PBE.

Cell: 4.668 5.110 4.668 Å, 90.00 90.00 90.00°
Positions (direct):
Re (0.000, 0.000, 0.000)
B (0.500, 0.500, 0.500)
Au (0.000, 0.500, 0.000)
Rh (0.000, 0.000, 0.500)
Rh (0.500, 0.000, 0.000)

- E: -26.673 eV/cell
- Formation enthalpy at 0 K: 2.0865 eV/atom
- Symmetry: No. 123
- Total moment: 0.00 μB per formula unit



Among the records above, which one has the highest E? RbTlBAu2



Which formula does entry 4 have? ReB2RhAu



Look up the E of the fourth one. -73.819 eV/cell